Run A
LaMo2I | PBE | optimized geometry

Properties
The calculation puts the density of states at the Fermi level at 1.380 states/eV/atom. The total magnetization is 0.0 μB/cell. As for the space group: No. 225.

Unit cell a=4.8708 b=4.8708 c=4.8708 alpha=60.00 beta=60.00 gamma=60.00
With the nearest neighbours (Å) after each atom.
Atoms (fractional coordinates):
La1 0.0000 0.0000 0.0000  8 Mo 2.98
Mo1 0.2500 0.2500 0.2500  4 I 2.98, 4 La 2.98
Mo2 0.7500 0.7500 0.7500  4 I 2.98, 4 La 2.98
I1 0.5000 0.5000 0.5000  8 Mo 2.98



Run B
LaMo2I | PBE | optimized geometry

Properties
The calculation puts the density of states at the Fermi level at 1.348 states/eV/atom. The total magnetization is 0.0 μB/cell. As for the space group: No. 122.

Unit cell a=11.4306 b=11.4306 c=11.4306 alpha=158.62 beta=158.62 gamma=30.42
With the nearest neighbours (Å) after each atom.
Atoms (fractional coordinates):
La1 0.0000 0.0000 0.0000  4 I 3.00, 4 Mo 3.05
La2 0.7500 0.2500 0.5000  4 I 3.00, 4 Mo 3.05
Mo1 0.0578 0.6250 0.9328  2 Mo 2.63
Mo2 0.3750 0.3078 0.4328  2 Mo 2.63
Mo3 0.6922 0.1250 0.0672  2 Mo 2.63
Mo4 0.8750 0.9422 0.5672  2 Mo 2.63
I1 0.2500 0.7500 0.5000  4 La 3.00, 4 Mo 3.25
I2 0.5000 0.5000 0.0000  4 La 3.00, 4 Mo 3.25



Name the least stable of them. run A.



Run A
LaMoI3 | PBE | optimized geometry

Properties
The calculation puts the density of states at the Fermi level at 1.493 states/eV/atom. The total magnetization is 1.7 μB/cell. As for the space group: No. 221.

Unit cell a=5.4967 b=5.4967 c=5.4967 alpha=90.00 beta=90.00 gamma=90.00
With the nearest neighbours (Å) after each atom.
Atoms (fractional coordinates):
La1 0.0000 0.0000 0.0000  12 I 3.89
Mo1 0.5000 0.5000 0.5000  6 I 2.75
I1 0.0000 0.5000 0.5000  2 Mo 2.75
I2 0.5000 0.0000 0.5000  2 Mo 2.75
I3 0.5000 0.5000 0.0000  2 Mo 2.75



Run B
LaMoI3 | PBE | optimized geometry

Properties
The calculation puts the density of states at the Fermi level at 0.008 states/eV/atom. The total magnetization is 6.0 μB/cell. As for the space group: No. 221.

Unit cell a=6.2715 b=6.2715 c=6.2715 alpha=90.00 beta=90.00 gamma=90.00
With the nearest neighbours (Å) after each atom.
Atoms (fractional coordinates):
La1 0.0000 0.0000 0.0000  6 I 3.14
Mo1 0.5000 0.5000 0.5000  12 I 4.43
I1 0.0000 0.0000 0.5000  2 La 3.14
I2 0.0000 0.5000 0.0000  2 La 3.14
I3 0.5000 0.0000 0.0000  2 La 3.14



Name the least stable of them. run A.



Run A
LaMo3I | PBE | optimized geometry

Properties
The calculation puts the density of states at the Fermi level at 0.976 states/eV/atom. The total magnetization is 2.0 μB/cell. As for the space group: No. 221.

Unit cell a=4.9753 b=4.9753 c=4.9753 alpha=90.00 beta=90.00 gamma=90.00
With the nearest neighbours (Å) after each atom.
Atoms (fractional coordinates):
La1 0.0000 0.0000 0.0000  12 Mo 3.52
Mo1 0.0000 0.5000 0.5000  2 I 2.49
Mo2 0.5000 0.0000 0.5000  2 I 2.49
Mo3 0.5000 0.5000 0.0000  2 I 2.49
I1 0.5000 0.5000 0.5000  6 Mo 2.49



Run B
LaMo3I | PBE | optimized geometry

Properties
The calculation puts the density of states at the Fermi level at 1.937 states/eV/atom. The total magnetization is 0.0 μB/cell. As for the space group: No. 221.

Unit cell a=4.9255 b=4.9255 c=4.9255 alpha=90.00 beta=90.00 gamma=90.00
With the nearest neighbours (Å) after each atom.
Atoms (fractional coordinates):
La1 0.0000 0.0000 0.0000  6 Mo 2.46
Mo1 0.0000 0.0000 0.5000  2 La 2.46
Mo2 0.0000 0.5000 0.0000  2 La 2.46
Mo3 0.5000 0.0000 0.0000  2 La 2.46
I1 0.5000 0.5000 0.5000  12 Mo 3.48



Name the least stable of them. run B.



Run A
La3IN2 | PBE | optimized geometry

Properties
The calculation puts the density of states at the Fermi level at 0.422 states/eV/atom. The total magnetization is 0.7 μB/cell. As for the space group: No. 11.

Unit cell a=7.4304 b=4.0680 c=12.7128 alpha=90.00 beta=101.53 gamma=90.00
With the nearest neighbours (Å) after each atom.
Atoms (fractional coordinates):
La1 0.1145 0.2500 0.4167  3 N 2.35-2.42
La2 0.3337 0.2500 0.0450  3 N 2.37-2.38
La3 0.3418 0.2500 0.7255  2 N 2.37-2.39
La4 0.6582 0.7500 0.2745  2 N 2.37-2.39
La5 0.6663 0.7500 0.9550  3 N 2.37-2.38
La6 0.8855 0.7500 0.5833  3 N 2.35-2.42
I1 0.0610 0.7500 0.8548  6 La 3.42-3.54, 2 N 3.81
I2 0.9390 0.2500 0.1452  6 La 3.42-3.54, 2 N 3.81
N1 0.0640 0.2500 0.5931  4 La 2.35-2.42
N2 0.4965 0.7500 0.0942  4 La 2.37-2.38
N3 0.5035 0.2500 0.9058  4 La 2.37-2.38
N4 0.9360 0.7500 0.4069  4 La 2.35-2.42



Run B
La3IN2 | PBE | optimized geometry

Properties
The calculation puts the density of states at the Fermi level at 0.610 states/eV/atom. The total magnetization is 0.0 μB/cell. As for the space group: No. 63.

Unit cell a=9.5823 b=9.5823 c=6.1902 alpha=90.00 beta=90.00 gamma=48.10
With the nearest neighbours (Å) after each atom.
Atoms (fractional coordinates):
La1 0.0068 0.3078 0.7500  2 N 2.26
La2 0.1442 0.8558 0.7500  4 N 2.49
La3 0.3078 0.0068 0.2500  2 N 2.26
La4 0.6922 0.9932 0.7500  2 N 2.26
La5 0.8558 0.1442 0.2500  4 N 2.49
La6 0.9932 0.6922 0.2500  2 N 2.26
I1 0.3827 0.6173 0.2500  4 La 3.30-3.61, 2 I 3.60
I2 0.6173 0.3827 0.7500  4 La 3.30-3.61, 2 I 3.60
N1 0.0910 0.0910 0.0000  4 La 2.26-2.49
N2 0.0910 0.0910 0.5000  4 La 2.26-2.49
N3 0.9090 0.9090 0.0000  4 La 2.26-2.49
N4 0.9090 0.9090 0.5000  4 La 2.26-2.49



Name the least stable of them. run B.